{
  "formula": "MgCo2Pb",
  "functional": "meta-GGA SCAN",
  "state": "single point on PBEsol structure",
  "formation_enthalpy_0k_ev_per_atom": 0.41,
  "n_ef_per_ev_fu": 1.9,
  "total_energy_ev_per_fu": -113.74,
  "spacegroup": "No. 123",
  "total_magnetization_mub_per_cell": 0.00,
  "lattice_angstrom": [[3.314, 0.000, 0.000], [0.000, 4.186, 0.000], [0.000, 0.000, 4.186]],
  "species": ["Co", "Co", "Pb", "Mg"],
  "fractional_positions": [[0.000, 0.000, 0.500], [0.000, 0.500, 0.000], [0.500, 0.000, 0.000], [0.500, 0.500, 0.500]]
}

***

{
  "formula": "PbSe2O",
  "functional": "meta-GGA SCAN",
  "state": "single point on PBEsol structure",
  "n_ef_per_ev_fu": 4.2,
  "total_energy_ev_per_fu": -119.70,
  "spacegroup": "No. 225",
  "relative_energy_mev_per_atom": 192,
  "total_magnetization_mub_per_cell": 1.95,
  "raw_formation_energy_ev_per_atom": 0.617,
  "lattice_angstrom": [[4.738, 0.000, 0.000], [2.369, 4.103, 0.000], [2.369, 1.368, 3.869]],
  "species": ["Se", "Se", "O", "Pb"],
  "fractional_positions": [[0.250, 0.250, 0.250], [0.750, 0.750, 0.750], [0.000, 0.000, 0.000], [0.500, 0.500, 0.500]]
}

***

{
  "formula": "YCrRu",
  "functional": "meta-GGA SCAN",
  "state": "single point on PBEsol structure",
  "formation_enthalpy_0k_ev_per_atom": 0.96,
  "n_ef_per_ev_fu": 2.9,
  "total_energy_ev_per_fu": -78.17,
  "spacegroup": "No. 216",
  "relative_energy_mev_per_atom": 712,
  "total_magnetization_mub_per_cell": 4.29,
  "lattice_angstrom": [[-3.802, -0.713, 2.173], [-1.550, -4.131, 0.462], [0.053, -1.957, 3.982]],
  "species": ["Y", "Cr", "Ru"],
  "fractional_positions": [[0.250, 0.250, 0.250], [0.000, 0.000, 0.000], [0.500, 0.500, 0.500]]
}

***

{
  "formula": "PtSI3",
  "functional": "meta-GGA SCAN",
  "state": "single point on PBEsol structure",
  "n_ef_per_ev_fu": 4.0,
  "total_energy_ev_per_fu": -187.30,
  "spacegroup": "No. 221",
  "total_magnetization_mub_per_cell": 2.59,
  "raw_formation_energy_ev_per_atom": 0.549,
  "lattice_angstrom": [[-0.606, -5.162, -1.306], [3.946, 0.447, -3.598], [3.575, -1.369, 3.750]],
  "species": ["Pt", "I", "I", "I", "S"],
  "fractional_positions": [[0.000, 0.000, 0.000], [0.000, 0.500, 0.000], [0.000, 0.000, 0.500], [0.500, 0.000, 0.000], [0.500, 0.500, 0.500]]
}

***

{
  "formula": "SiPCl",
  "functional": "meta-GGA SCAN",
  "state": "single point on PBEsol structure",
  "n_ef_per_ev_fu": 1.1,
  "total_energy_ev_per_fu": -27.56,
  "spacegroup": "No. 42",
  "relative_energy_mev_per_atom": 0,
  "total_magnetization_mub_per_cell": 0.00,
  "raw_formation_energy_ev_per_atom": 0.276,
  "lattice_angstrom": [[3.299, 0.000, 0.000], [1.650, 2.792, 0.000], [1.650, 0.000, 6.474]],
  "species": ["Si", "P", "Cl"],
  "fractional_positions": [[0.324, 0.000, 0.353], [0.710, 0.000, 0.581], [0.967, 0.000, 0.066]]
}

***

{
  "formula": "AlSb2Se2Cl4",
  "functional": "meta-GGA SCAN",
  "state": "single point on PBEsol structure",
  "total_energy_ev_per_fu": -163.37,
  "spacegroup": "No. 2",
  "total_magnetization_mub_per_cell": 0.00,
  "raw_formation_energy_ev_per_atom": -1.003,
  "lattice_angstrom": [[-0.850, 4.057, -8.270], [-10.879, 0.616, -2.332], [-4.799, 10.436, 2.889]],
  "species": ["Al", "Al", "Al", "Al", "Sb", "Sb", "Sb", "Sb", "Sb", "Sb", "Sb", "Sb", "Cl", "Cl", "Cl", "Cl", "Cl", "Cl", "Cl", "Cl", "Cl", "Cl", "Cl", "Cl", "Cl", "Cl", "Cl", "Cl", "Se", "Se", "Se", "Se", "Se", "Se", "Se", "Se"],
  "fractional_positions": [[0.193, 0.687, 0.453], [0.807, 0.313, 0.547], [0.111, 0.187, 0.972], [0.889, 0.813, 0.028], [0.343, 0.983, 0.433], [0.290, 0.564, 0.990], [0.565, 0.858, 0.824], [0.435, 0.142, 0.176], [0.710, 0.436, 0.010], [0.440, 0.377, 0.328], [0.560, 0.623, 0.672], [0.657, 0.017, 0.567], [0.111, 0.395, 0.925], [0.866, 0.436, 0.624], [0.266, 0.564, 0.633], [0.890, 0.187, 0.940], [0.386, 0.759, 0.336], [0.866, 0.913, 0.833], [0.110, 0.813, 0.060], [0.889, 0.605, 0.075], [0.994, 0.149, 0.536], [0.006, 0.851, 0.464], [0.734, 0.436, 0.367], [0.707, 0.898, 0.139], [0.134, 0.087, 0.167], [0.293, 0.102, 0.861], [0.134, 0.564, 0.376], [0.614, 0.241, 0.664], [0.373, 0.153, 0.531], [0.347, 0.791, 0.762], [0.765, 0.651, 0.781], [0.512, 0.393, 0.908], [0.653, 0.209, 0.238], [0.235, 0.349, 0.219], [0.627, 0.847, 0.469], [0.488, 0.607, 0.092]]
}

***

{
  "formula": "CoNiHg",
  "functional": "meta-GGA SCAN",
  "state": "single point on PBEsol structure",
  "formation_enthalpy_0k_ev_per_atom": 0.36,
  "n_ef_per_ev_fu": 2.6,
  "total_energy_ev_per_fu": -100.57,
  "spacegroup": "No. 107",
  "total_magnetization_mub_per_cell": 2.35,
  "lattice_angstrom": [[2.805, 0.000, 0.000], [0.000, 2.805, 0.000], [-1.402, -1.402, 5.171]],
  "species": ["Hg", "Ni", "Co"],
  "fractional_positions": [[0.332, 0.332, 0.665], [0.648, 0.648, 0.296], [0.020, 0.020, 0.039]]
}

***

{
  "formula": "Co2CuHg",
  "functional": "meta-GGA SCAN",
  "state": "single point on PBEsol structure",
  "formation_enthalpy_0k_ev_per_atom": 0.43,
  "n_ef_per_ev_fu": 2.6,
  "total_energy_ev_per_fu": -116.25,
  "spacegroup": "No. 160",
  "total_magnetization_mub_per_cell": 3.69,
  "lattice_angstrom": [[-2.215, 1.559, 0.058], [-1.251, 0.662, -2.310], [-5.999, -6.163, -0.104]],
  "species": ["Co", "Co", "Cu", "Hg"],
  "fractional_positions": [[0.747, 0.747, 0.759], [0.010, 0.010, 0.969], [0.491, 0.491, 0.527], [0.251, 0.251, 0.246]]
}